--- 1 ---
RbReBr2, relaxed, DFT GGA-PBE; space group = R-3m (166); DOS(E_F) = 0.827 states/eV per atom; mass density = 5.58 g cm⁻³; spin magnetization = 0.4 μB per formula unit
1.0
2.356 0.000 8.901
-1.178 2.040 8.901
-1.178 -2.040 8.901
Br Re Rb
2 1 1
Direct
0.124 0.124 0.124 Br
0.876 0.876 0.876 Br
0.500 0.500 0.500 Re
0.000 0.000 0.000 Rb

--- 2 ---
RbReBr2, relaxed, DFT GGA-PBE; space group = R-3m (166); DOS(E_F) = 0.623 states/eV per atom; mass density = 7.22 g cm⁻³; spin magnetization = 0.0 μB per formula unit
1.0
-6.556 -6.630 4.116
-4.478 -8.794 2.547
-3.705 -7.642 5.635
Rb Br Re
1 2 1
Direct
0.500 0.500 0.500 Rb
0.081 0.081 0.081 Br
0.919 0.919 0.919 Br
0.000 0.000 0.000 Re

--- 3 ---
RbReBr2, relaxed, DFT GGA-PBE; space group = I-42d (122); DOS(E_F) = 0.511 states/eV per atom; mass density = 5.13 g cm⁻³; spin magnetization = 0.0 μB per formula unit
1.0
-1.951 -0.627 6.104
-4.697 -3.969 -1.909
0.811 -7.568 2.878
Re Br Rb
2 4 2
Direct
0.750 0.250 0.500 Re
0.000 0.000 0.000 Re
0.875 0.996 0.750 Br
0.004 0.625 0.250 Br
0.375 0.254 0.750 Br
0.746 0.125 0.250 Br
0.250 0.750 0.500 Rb
0.500 0.500 0.000 Rb

Verdict on stability: 3 comes out on top.

--- 1 ---
RbRh2Br, relaxed, DFT GGA-PBE; space group = I4_1/amd (141); DOS(E_F) = 1.004 states/eV per atom; mass density = 5.46 g cm⁻³; spin magnetization = 0.2 μB per formula unit
1.0
5.221 0.000 0.000
0.000 5.221 0.000
2.610 2.610 8.277
Br Rh Rb
2 4 2
Direct
0.500 0.500 0.000 Br
0.250 0.750 0.500 Br
0.375 0.625 0.250 Rh
0.375 0.125 0.250 Rh
0.375 0.625 0.750 Rh
0.875 0.625 0.750 Rh
0.750 0.250 0.500 Rb
0.000 0.000 0.000 Rb

--- 2 ---
RbRh2Br, relaxed, DFT GGA-PBE; space group = Fm-3m (225); DOS(E_F) = 0.508 states/eV per atom; mass density = 7.39 g cm⁻³; spin magnetization = 2.1 μB per formula unit
1.0
1.817 -4.052 2.082
-2.359 -4.273 -0.481
1.904 -3.551 -2.797
Rh Rb Br
2 1 1
Direct
0.250 0.250 0.250 Rh
0.750 0.750 0.750 Rh
0.500 0.500 0.500 Rb
0.000 0.000 0.000 Br

Verdict on stability: 1 comes out on top.

--- 1 ---
Rb2RhBr5, relaxed, DFT GGA-PBE; space group = P1 (1); DOS(E_F) = 0.697 states/eV per atom; mass density = 3.78 g cm⁻³; spin magnetization = 0.0 μB per formula unit
1.0
4.891 0.290 -1.285
-3.717 7.425 -2.389
2.093 -0.826 7.786
Br Rb Rh
5 2 1
Direct
0.934 0.774 0.682 Br
0.594 0.089 0.058 Br
0.932 0.770 0.117 Br
0.183 0.266 0.372 Br
0.185 0.270 0.925 Br
0.387 0.681 0.355 Rb
0.728 0.354 0.691 Rb
0.058 0.019 0.024 Rh

--- 2 ---
Rb2RhBr5, relaxed, DFT GGA-PBE; space group = I4mm (107); mass density = 3.80 g cm⁻³; spin magnetization = 0.0 μB per formula unit
1.0
-4.003 5.909 -1.678
-1.414 -6.024 -3.933
-1.198 -2.877 6.637
Br Rh Rb
5 1 2
Direct
0.452 0.218 0.218 Br
0.000 0.258 0.258 Br
0.000 0.766 0.218 Br
0.000 0.218 0.766 Br
0.548 0.766 0.766 Br
0.000 0.010 0.010 Rh
0.500 0.243 0.743 Rb
0.500 0.743 0.243 Rb

Verdict on stability: 2 comes out on top.

--- 1 ---
RbRhSe2Br, relaxed, DFT GGA-PBE; space group = P4/mmm (123); DOS(E_F) = 1.508 states/eV per atom; mass density = 2.97 g cm⁻³; spin magnetization = 5.0 μB per formula unit
1.0
6.191 0.000 0.000
0.000 6.191 0.000
0.000 0.000 6.219
Rh Se Rb Br
1 2 1 1
Direct
0.500 0.500 0.500 Rh
0.000 0.500 0.000 Se
0.500 0.000 0.000 Se
0.000 0.000 0.000 Rb
0.000 0.000 0.500 Br

--- 2 ---
RbRhSe2Br, relaxed, DFT GGA-PBE; space group = P4/mmm (123); DOS(E_F) = 1.151 states/eV per atom; mass density = 5.16 g cm⁻³; spin magnetization = 1.1 μB per formula unit
1.0
-2.321 -0.679 4.286
-2.099 -4.079 -1.783
4.369 -3.069 1.880
Se Rh Rb Br
2 1 1 1
Direct
0.500 0.000 0.000 Se
0.000 0.500 0.000 Se
0.000 0.000 0.000 Rh
0.500 0.500 0.500 Rb
0.000 0.000 0.500 Br

Verdict on stability: 2 comes out on top.

--- 1 ---
RbTc2RhBr, relaxed, DFT GGA-PBE; space group = P4/mmm (123); DOS(E_F) = 1.033 states/eV per atom; mass density = 5.42 g cm⁻³; spin magnetization = 5.0 μB per formula unit
1.0
-4.176 -2.347 0.052
0.751 -1.203 6.032
-2.275 4.071 1.095
Tc Rh Br Rb
2 1 1 1
Direct
0.500 0.000 0.000 Tc
0.000 0.000 0.500 Tc
0.000 0.000 0.000 Rh
0.000 0.500 0.000 Br
0.500 0.500 0.500 Rb

--- 2 ---
RbTc2RhBr, relaxed, DFT GGA-PBE; space group = P4/mmm (123); DOS(E_F) = 1.338 states/eV per atom; mass density = 5.26 g cm⁻³; spin magnetization = 8.6 μB per formula unit
1.0
-4.840 2.335 -1.076
-2.228 -3.340 2.777
0.592 3.244 4.377
Rb Rh Tc Br
1 1 2 1
Direct
0.000 0.000 0.000 Rb
0.000 0.500 0.000 Rh
0.000 0.000 0.500 Tc
0.500 0.000 0.000 Tc
0.500 0.500 0.500 Br

Verdict on stability: 1 comes out on top.

--- 1 ---
Rb2RuBr5, relaxed, DFT GGA-PBE; space group = I4mm (107); DOS(E_F) = 1.194 states/eV per atom; mass density = 3.76 g cm⁻³; spin magnetization = 1.0 μB per formula unit
1.0
7.831 0.000 0.000
0.000 7.831 0.000
-3.915 -3.915 4.841
Rb Br Ru
2 5 1
Direct
0.758 0.258 0.517 Rb
0.258 0.758 0.517 Rb
0.738 0.739 0.477 Br
0.235 0.235 0.018 Br
0.783 0.783 0.018 Br
0.235 0.783 0.018 Br
0.783 0.235 0.018 Br
0.985 0.985 0.971 Ru

--- 2 ---
Rb2RuBr5, relaxed, DFT GGA-PBE; space group = Pnma (62); DOS(E_F) = 0.909 states/eV per atom; mass density = 4.14 g cm⁻³; spin magnetization = 1.0 μB per formula unit
1.0
7.349 0.000 0.000
0.000 9.518 0.000
0.000 0.000 15.393
Rb Br Ru
8 20 4
Direct
0.750 0.039 0.197 Rb
0.750 0.320 0.915 Rb
0.750 0.539 0.303 Rb
0.250 0.680 0.085 Rb
0.250 0.180 0.415 Rb
0.250 0.461 0.697 Rb
0.250 0.961 0.803 Rb
0.750 0.820 0.585 Rb
0.250 0.043 0.199 Br
0.750 0.205 0.407 Br
0.989 0.164 0.610 Br
0.000 0.500 0.500 Br
0.250 0.795 0.593 Br
0.750 0.705 0.093 Br
0.511 0.164 0.610 Br
0.011 0.836 0.390 Br
0.500 0.000 0.000 Br
0.511 0.664 0.890 Br
0.989 0.664 0.890 Br
0.000 0.000 0.000 Br
0.250 0.295 0.907 Br
0.750 0.957 0.801 Br
0.500 0.500 0.500 Br
0.489 0.836 0.390 Br
0.750 0.457 0.699 Br
0.011 0.336 0.110 Br
0.489 0.336 0.110 Br
0.250 0.543 0.301 Br
0.250 0.174 0.057 Ru
0.750 0.326 0.557 Ru
0.750 0.826 0.943 Ru
0.250 0.674 0.443 Ru

Verdict on stability: 2 comes out on top.

--- 1 ---
Rb3RuBr8, relaxed, DFT GGA-PBE; space group = I4/mmm (139); DOS(E_F) = 0.926 states/eV per atom; mass density = 3.73 g cm⁻³; spin magnetization = 0.0 μB per formula unit
1.0
-3.002 6.431 3.030
-1.706 -3.844 6.470
9.009 0.487 -1.937
Br Rb Ru
8 3 1
Direct
0.689 0.099 0.788 Br
0.311 0.311 0.212 Br
0.901 0.901 0.212 Br
0.311 0.901 0.212 Br
0.689 0.689 0.788 Br
0.099 0.099 0.788 Br
0.901 0.311 0.212 Br
0.099 0.689 0.788 Br
0.250 0.750 0.500 Rb
0.500 0.500 0.000 Rb
0.750 0.250 0.500 Rb
0.000 0.000 0.000 Ru

--- 2 ---
Rb3RuBr8, relaxed, DFT GGA-PBE; space group = P6_3mc (186); DOS(E_F) = 0.234 states/eV per atom; mass density = 3.79 g cm⁻³; spin magnetization = 3.1 μB per formula unit
1.0
9.371 0.000 0.000
0.000 8.989 -5.190
0.000 0.000 10.380
Br Rb Ru
16 6 2
Direct
0.495 0.893 0.447 Br
0.803 0.439 0.219 Br
0.651 0.333 0.667 Br
0.461 0.000 0.000 Br
0.803 0.781 0.219 Br
0.995 0.107 0.553 Br
0.995 0.447 0.893 Br
0.151 0.667 0.333 Br
0.495 0.553 0.447 Br
0.303 0.219 0.781 Br
0.495 0.553 0.107 Br
0.303 0.561 0.781 Br
0.303 0.219 0.439 Br
0.961 0.000 0.000 Br
0.803 0.781 0.561 Br
0.995 0.447 0.553 Br
0.707 0.151 0.849 Rb
0.207 0.849 0.698 Rb
0.707 0.151 0.302 Rb
0.707 0.698 0.849 Rb
0.207 0.302 0.151 Rb
0.207 0.849 0.151 Rb
0.146 0.333 0.667 Ru
0.646 0.667 0.333 Ru

Verdict on stability: 2 comes out on top.

--- 1 ---
RbRuSe2Br, relaxed, DFT GGA-PBE; space group = P4/mmm (123); DOS(E_F) = 0.995 states/eV per atom; mass density = 5.16 g cm⁻³; spin magnetization = 0.9 μB per formula unit
1.0
4.875 0.000 0.000
0.000 4.875 0.000
0.000 0.000 5.740
Se Ru Br Rb
2 1 1 1
Direct
0.500 0.000 0.000 Se
0.000 0.500 0.000 Se
0.000 0.000 0.000 Ru
0.000 0.000 0.500 Br
0.500 0.500 0.500 Rb

--- 2 ---
RbRuSe2Br, relaxed, DFT GGA-PBE; space group = P4/mmm (123); DOS(E_F) = 1.510 states/eV per atom; mass density = 3.19 g cm⁻³; spin magnetization = 6.0 μB per formula unit
1.0
-0.117 2.769 5.382
-3.910 -4.143 2.047
4.602 -3.423 1.861
Br Ru Se Rb
1 1 2 1
Direct
0.000 0.000 0.500 Br
0.500 0.500 0.500 Ru
0.000 0.500 0.000 Se
0.500 0.000 0.000 Se
0.000 0.000 0.000 Rb

Verdict on stability: 1 comes out on top.

--- 1 ---
RbS3Br, relaxed, DFT GGA-PBE; space group = Pm-3m (221); DOS(E_F) = 0.666 states/eV per atom; mass density = 3.33 g cm⁻³; spin magnetization = 0.0 μB per formula unit
1.0
-0.911 4.049 -2.915
-4.890 -1.310 -0.292
-0.987 2.759 4.140
S Rb Br
3 1 1
Direct
0.500 0.000 0.000 S
0.000 0.000 0.500 S
0.000 0.500 0.000 S
0.500 0.500 0.500 Rb
0.000 0.000 0.000 Br

--- 2 ---
RbS3Br, relaxed, DFT GGA-PBE; space group = C2/m (12); DOS(E_F) = 0.000 states/eV per atom; mass density = 2.03 g cm⁻³; spin magnetization = 0.0 μB per formula unit
1.0
-8.869 -5.363 11.741
-2.542 -5.887 14.289
-3.146 0.984 8.016
Br S Rb
2 6 2
Direct
0.870 0.870 0.156 Br
0.130 0.130 0.844 Br
0.974 0.445 0.024 S
0.445 0.974 0.024 S
0.555 0.026 0.976 S
0.129 0.129 0.328 S
0.871 0.871 0.672 S
0.026 0.555 0.976 S
0.350 0.350 0.257 Rb
0.650 0.650 0.743 Rb

Verdict on stability: 2 comes out on top.

--- 1 ---
Rb3SBr6, relaxed, DFT GGA-PBE; space group = Cmc2_1 (36); DOS(E_F) = 0.013 states/eV per atom; mass density = 2.60 g cm⁻³; spin magnetization = 1.1 μB per formula unit
1.0
8.367 0.000 0.000
0.000 10.769 1.120
0.000 -1.312 10.747
Br Rb S
12 6 2
Direct
0.173 0.387 0.300 Br
0.718 0.876 0.367 Br
0.218 0.124 0.633 Br
0.223 0.848 0.152 Br
0.723 0.152 0.848 Br
0.673 0.613 0.700 Br
0.673 0.300 0.387 Br
0.101 0.042 0.958 Br
0.601 0.958 0.042 Br
0.173 0.700 0.613 Br
0.718 0.633 0.124 Br
0.218 0.367 0.876 Br
0.991 0.638 0.876 Rb
0.991 0.124 0.362 Rb
0.491 0.876 0.638 Rb
0.886 0.573 0.427 Rb
0.386 0.427 0.573 Rb
0.491 0.362 0.124 Rb
0.010 0.177 0.823 S
0.510 0.823 0.177 S

--- 2 ---
Rb3SBr6, relaxed, DFT GGA-PBE; space group = I4/mmm (139); DOS(E_F) = 0.000 states/eV per atom; mass density = 3.10 g cm⁻³; spin magnetization = 1.0 μB per formula unit
1.0
8.054 0.000 0.000
0.000 8.054 0.000
4.027 4.027 6.350
Rb Br S
3 6 1
Direct
0.750 0.250 0.500 Rb
0.250 0.750 0.500 Rb
0.000 0.000 0.000 Rb
0.717 0.717 0.000 Br
0.283 0.283 0.000 Br
0.283 0.717 0.000 Br
0.744 0.744 0.512 Br
0.717 0.283 0.000 Br
0.256 0.256 0.488 Br
0.500 0.500 0.000 S

Verdict on stability: 1 comes out on top.

--- 1 ---
RbSbBr2, relaxed, DFT GGA-PBE; space group = Fm-3m (225); DOS(E_F) = 1.390 states/eV per atom; mass density = 4.49 g cm⁻³; spin magnetization = 2.0 μB per formula unit
1.0
-2.100 -3.233 4.294
-2.959 2.473 4.293
-5.689 -0.857 0.450
Rb Br Sb
1 2 1
Direct
0.000 0.000 0.000 Rb
0.250 0.250 0.250 Br
0.750 0.750 0.750 Br
0.500 0.500 0.500 Sb

--- 2 ---
RbSbBr2, relaxed, DFT GGA-PBE; space group = R-3m (166); DOS(E_F) = 0.255 states/eV per atom; mass density = 4.05 g cm⁻³; spin magnetization = 0.0 μB per formula unit
1.0
-6.271 -7.091 4.536
-3.269 -6.754 7.340
-6.368 -4.037 7.302
Rb Sb Br
1 1 2
Direct
0.500 0.500 0.500 Rb
0.000 0.000 0.000 Sb
0.909 0.909 0.909 Br
0.091 0.091 0.091 Br

--- 3 ---
RbSbBr2, relaxed, DFT GGA-PBE; space group = I-42d (122); DOS(E_F) = 0.002 states/eV per atom; mass density = 3.38 g cm⁻³; spin magnetization = 0.0 μB per formula unit
1.0
6.253 0.000 0.000
0.000 6.253 0.000
3.127 3.127 9.219
Br Sb Rb
4 2 2
Direct
0.041 0.625 0.250 Br
0.375 0.291 0.750 Br
0.875 0.959 0.750 Br
0.709 0.125 0.250 Br
0.750 0.250 0.500 Sb
0.000 0.000 0.000 Sb
0.250 0.750 0.500 Rb
0.500 0.500 0.000 Rb

Verdict on stability: 2 comes out on top.